1.
The following is a DFT calculation (PBE-GGA) of a relaxed structure of Cu2TcPd.

```
4
Lattice="-2.844 -3.140 0.326 -1.783 -0.870 3.758 -4.098 0.906 0.668" Properties=species:S:1:pos:R:3 pbc="T T T"
Pd -4.363 -1.552 2.376
Cu -2.181 -0.776 1.188
Tc 0.000 0.000 0.000
Cu -6.544 -2.329 3.564
```

- magnetic moment (μB/atom) = 0.34
- energy relative to the elements (eV per formula unit) = 1.128
- energy above the most stable polymorph in this dataset (meV per atom) = 0.0
- crystal system = cubic
- mass density (g/cm³) = 10.14
- D(E_F) (states/eV/atom) = 1.0061



2.
The following is a DFT calculation (PBE-GGA) of a relaxed structure of Cu2TcPd2.

```
10
Lattice="-1.165 2.862 -6.445 0.855 -6.427 -3.009 -2.710 -0.488 0.273" Properties=species:S:1:pos:R:3 pbc="T T T"
Cu 0.185 -2.099 -1.917
Pd -0.983 -4.094 -3.055
Tc 0.000 0.000 0.000
Cu -0.495 -1.466 -7.537
Tc -0.155 -1.782 -4.727
Pd -1.577 -0.471 -2.473
Cu -0.620 1.003 -4.357
Cu 0.310 -4.568 -5.097
Pd -1.443 -3.582 -6.708
Pd -2.037 0.041 -6.126
```

- magnetic moment (μB/atom) = 0.12
- energy relative to the elements (eV per formula unit) = 1.220
- crystal system = tetragonal
- mass density (g/cm³) = 10.29
- D(E_F) (states/eV/atom) = 1.0051



3.
The following is a DFT calculation (PBE-GGA) of a relaxed structure of CuTcPd14.

```
16
Lattice="5.565 -0.012 0.000 0.012 5.565 0.000 0.000 0.000 7.832" Properties=species:S:1:pos:R:3 pbc="T T T"
Pd 3.493 3.478 2.017
Pd 3.493 3.478 5.815
Pd 4.880 4.859 0.000
Pd 0.696 3.484 2.017
Pd 2.097 4.865 3.916
Pd 4.874 2.077 0.000
Pd 3.487 0.681 5.815
Pd 0.696 3.484 5.815
Pd 0.690 0.687 2.017
Pd 4.874 2.077 3.916
Pd 0.690 0.687 5.815
Tc 4.880 4.859 3.916
Pd 3.487 0.681 2.017
Pd 2.097 4.865 0.000
Pd 2.091 2.083 0.000
Cu 2.091 2.083 3.916
```

- magnetic moment (μB/atom) = 0.00
- energy relative to the elements (eV per formula unit) = 0.041
- crystal system = tetragonal
- mass density (g/cm³) = 11.30
- D(E_F) (states/eV/atom) = 1.7617



4.
The following is a DFT calculation (PBE-GGA) of a relaxed structure of CuTc2Pd.

```
8
Lattice="-2.898 1.071 1.850 -0.527 -3.378 1.132 3.709 0.522 9.012" Properties=species:S:1:pos:R:3 pbc="T T T"
Tc -0.877 0.351 3.504
Pd -0.450 0.220 6.176
Tc 0.163 -1.820 3.238
Cu 0.735 -2.005 5.817
Tc 1.485 -0.558 7.906
Cu -1.712 -1.153 1.491
Pd 0.000 0.000 0.000
Tc -0.201 -1.542 9.340
```

- magnetic moment (μB/atom) = 0.00
- energy relative to the elements (eV per formula unit) = 1.963
- energy above the most stable polymorph in this dataset (meV per atom) = 0.0
- crystal system = tetragonal
- mass density (g/cm³) = 9.95
- D(E_F) (states/eV/atom) = 0.8328



5.
The following is a DFT calculation (PBE-GGA) of a relaxed structure of CuTcPd.

```
6
Lattice="-0.714 -4.757 0.162 0.548 0.005 2.555 -6.736 3.449 0.102" Properties=species:S:1:pos:R:3 pbc="T T T"
Pd -2.103 0.376 1.787
Tc 0.098 -1.171 1.317
Pd -4.799 -1.680 1.032
Cu -4.577 0.766 2.317
Cu -2.324 -2.069 0.502
Tc -0.264 -3.582 1.399
```

- magnetic moment (μB/atom) = 0.00
- energy relative to the elements (eV per formula unit) = 0.792
- energy above the most stable polymorph in this dataset (meV per atom) = 152.5
- crystal system = orthorhombic
- mass density (g/cm³) = 10.03
- D(E_F) (states/eV/atom) = 0.7919



6.
The following is a DFT calculation (PBE-GGA) of a relaxed structure of VCu2TcPd.

```
5
Lattice="-2.436 3.548 -1.765 -0.897 -2.328 -3.442 -3.840 -1.600 2.082" Properties=species:S:1:pos:R:3 pbc="T T T"
V -0.448 -1.164 -1.721
Pd -3.586 -0.190 -1.563
Cu -1.920 -0.800 1.041
Cu -1.218 1.774 -0.883
Tc 0.000 0.000 0.000
```

- magnetic moment (μB/atom) = 0.00
- energy relative to the elements (eV per formula unit) = 5.893
- crystal system = tetragonal
- mass density (g/cm³) = 6.90
- D(E_F) (states/eV/atom) = 1.0052



7.
The following is a DFT calculation (PBE-GGA) of a relaxed structure of Cu2Te3Pd.

```
12
Lattice="4.061 0.000 0.000 0.000 6.955 0.139 -2.030 -1.448 9.797" Properties=species:S:1:pos:R:3 pbc="T T T"
Pd 2.030 -0.152 2.998
Te 0.000 0.735 4.874
Cu 2.030 2.319 4.255
Pd 0.000 5.659 6.938
Te 0.000 3.144 8.266
Te 2.030 0.024 8.087
Cu 0.000 0.971 0.861
Te 2.030 2.364 1.671
Te 0.000 5.484 1.850
Te 2.030 4.773 5.062
Cu 2.030 4.537 9.076
Cu 0.000 3.188 5.681
```

- magnetic moment (μB/atom) = 0.00
- uncorrected formation energy (eV per atom) = -0.13
- crystal system = monoclinic
- mass density (g/cm³) = 7.38
- D(E_F) (states/eV/atom) = 0.5186



8.
The following is a DFT calculation (PBE-GGA) of a relaxed structure of CuTePd14.

```
16
Lattice="-3.960 -3.548 -1.669 4.969 -0.181 -2.517 2.902 -6.141 6.171" Properties=species:S:1:pos:R:3 pbc="T T T"
Pd -0.666 -7.732 2.853
Pd 1.823 -7.781 1.550
Pd 3.412 -3.368 1.868
Pd -0.099 -2.914 0.644
Pd 0.711 -0.757 -1.088
Pd 3.222 -0.839 -2.351
Pd 0.408 -4.787 -1.458
Pd 2.366 -2.930 -0.695
Te 1.454 -5.124 1.041
Pd -2.117 -4.663 -0.231
Pd 3.912 -5.216 -0.206
Pd 1.216 -2.625 -3.184
Pd 3.850 -6.071 2.462
Pd -1.268 -2.533 -1.924
Cu 5.948 -3.429 0.614
Pd 1.316 -5.908 3.652
```

- magnetic moment (μB/atom) = 0.00
- uncorrected formation energy (eV per atom) = -0.06
- crystal system = orthorhombic
- mass density (g/cm³) = 11.15
- D(E_F) (states/eV/atom) = 1.7179